Entry 1:
HgPt2W | the Alexandria database | PBE | relaxed; raw total energy = -6.222 eV per atom; crystal system = orthorhombic
1.0
-1.393 2.176 6.178
1.393 -2.176 6.178
1.393 2.176 -6.178
Hg Pt W
1 2 1
Direct
0.000 0.000 0.000
0.343 0.843 0.500
0.598 0.598 0.000
0.775 0.275 0.500

Entry 2:
TmBe | the Alexandria database | PBE | relaxed; crystal system = cubic; excess energy over the best structure of this formula in the dataset = 2.8 meV/atom
1.0
3.359 0.000 0.000
0.000 3.359 0.000
0.000 0.000 3.359
Tm Be
1 1
Direct
0.000 0.000 0.000
0.500 0.500 0.500